{
  "formula": "Na4Cd3Ag2",
  "functional": "GGA-PBE",
  "state": "optimized geometry",
  "lattice_angstrom": [[-0.0148, 2.6235, 4.3273], [2.4866, -2.9977, 4.7849], [6.4643, 4.3478, 0.3451]],
  "species": ["Na", "Na", "Cd", "Na", "Ag", "Cd", "Cd", "Na", "Ag"],
  "frac_coords": [[0.0167, 0.3184, 0.6482], [0.9833, 0.6816, 0.3518], [0.6781, 0.2314, 0.4123], [0.6500, 0.5960, 0.1040], [0.3315, 0.1039, 0.2332], [0.3219, 0.7686, 0.5877], [0.0000, 0.0000, 0.0000], [0.3500, 0.4040, 0.8960], [0.6685, 0.8961, 0.7668]],
  "crystal_system": "monoclinic",
  "formation_energy_ev_per_atom": -0.041,
  "m_tot_mub_per_cell": 0.0
}

{
  "formula": "Na3CdAg",
  "functional": "GGA-PBE",
  "state": "optimized geometry",
  "lattice_angstrom": [[5.8206, 0.0000, -1.4906], [0.0000, 5.5552, 0.0000], [0.1850, 0.0000, 8.1343]],
  "species": ["Na", "Ag", "Na", "Cd", "Na", "Cd", "Ag", "Na", "Na", "Na"],
  "frac_coords": [[0.0000, 0.5000, 0.0000], [0.8059, 0.7500, 0.2757], [0.4729, 0.7500, 0.8573], [0.9542, 0.7500, 0.6362], [0.5271, 0.2500, 0.1427], [0.0458, 0.2500, 0.3638], [0.1941, 0.2500, 0.7243], [0.6493, 0.2500, 0.5996], [0.3507, 0.7500, 0.4004], [0.0000, 0.0000, 0.0000]],
  "crystal_system": "monoclinic",
  "formation_energy_ev_per_atom": -0.009,
  "e_above_lowest_polymorph_ev_per_atom": 0.0000,
  "m_tot_mub_per_cell": 0.0
}

{
  "formula": "NaCd6Ag5",
  "functional": "GGA-PBE",
  "state": "optimized geometry",
  "lattice_angstrom": [[8.2495, -0.2932, 0.0000], [2.0678, 4.8980, 0.0000], [1.0339, 2.4490, 6.3816]],
  "species": ["Cd", "Ag", "Na", "Cd", "Ag", "Cd", "Cd", "Cd", "Ag", "Cd", "Ag", "Ag"],
  "frac_coords": [[0.8034, 0.6225, 0.0000], [0.5000, 0.8884, 0.2232], [0.0000, 0.0000, 0.0000], [0.1966, 0.3775, 0.0000], [0.5000, 0.5000, 0.0000], [0.6992, 0.1395, 0.3806], [0.3008, 0.8605, 0.6194], [0.6992, 0.5202, 0.6194], [0.0000, 0.6960, 0.6080], [0.3008, 0.4798, 0.3806], [0.0000, 0.3040, 0.3920], [0.5000, 0.1116, 0.7768]],
  "crystal_system": "monoclinic",
  "formation_energy_ev_per_atom": 0.001,
  "e_above_lowest_polymorph_ev_per_atom": 0.0470,
  "m_tot_mub_per_cell": 0.0
}

{
  "formula": "NaCd4Ag",
  "functional": "GGA-PBE",
  "state": "optimized geometry",
  "lattice_angstrom": [[-0.5487, 0.0978, 3.8324], [6.0716, -4.9924, 0.9966], [5.7580, 7.1309, 0.6424]],
  "species": ["Cd", "Ag", "Na", "Cd", "Cd", "Cd", "Cd", "Na", "Cd", "Cd", "Ag", "Cd"],
  "frac_coords": [[0.5000, 0.3186, 0.9639], [0.0000, 0.2049, 0.7500], [0.0000, 0.4155, 0.2500], [0.5000, 0.3186, 0.5361], [0.5000, 0.0905, 0.2500], [0.0000, 0.0000, 0.5000], [0.0000, 0.0000, 0.0000], [0.0000, 0.5845, 0.7500], [0.5000, 0.6814, 0.4639], [0.5000, 0.9095, 0.7500], [0.0000, 0.7951, 0.2500], [0.5000, 0.6814, 0.0361]],
  "crystal_system": "orthorhombic",
  "formation_energy_ev_per_atom": -0.061,
  "e_above_lowest_polymorph_ev_per_atom": 0.0000,
  "m_tot_mub_per_cell": 0.0
}